# 1
RbNbAgSe2S after structural relaxation, computed with PBE-GGA.

abc: 8.0160 8.0160 10.1133
angles: 90.00 90.00 152.37
With the nearest neighbours (Å) after each atom.
Element x y z (fractional)
Rb 0.2460 0.7540 0.7500  6 Se 3.42-3.61, 2 S 3.48, 2 Ag 3.79, 2 Rb 3.83
Rb 0.7540 0.2460 0.2500  6 Se 3.42-3.61, 2 S 3.48, 2 Ag 3.79, 2 Rb 3.83
Nb 0.5000 0.5000 0.0000  4 Se 2.69, 2 S 2.69
Nb 0.5000 0.5000 0.5000  4 Se 2.69, 2 S 2.69
Ag 0.0440 0.9560 0.2500  2 S 2.50, 2 Se 2.54
Ag 0.9560 0.0440 0.7500  2 S 2.50, 2 Se 2.54
Se 0.1202 0.8798 0.0276  1 Ag 2.54, 2 Nb 2.69
Se 0.1202 0.8798 0.4724  1 Ag 2.54, 2 Nb 2.69
Se 0.8798 0.1202 0.5276  1 Ag 2.54, 2 Nb 2.69
Se 0.8798 0.1202 0.9724  1 Ag 2.54, 2 Nb 2.69
S 0.4405 0.5595 0.2500  2 Ag 2.50, 2 Nb 2.69
S 0.5595 0.4405 0.7500  2 Ag 2.50, 2 Nb 2.69

- V: 25.11 Å³/atom
- SG: No. 63
- E: -4.820 eV per atom

---

# 2
SmInOs after structural relaxation, computed with PBE-GGA.

abc: 4.8053 4.8053 4.8053
angles: 60.00 60.00 60.00
With the nearest neighbours (Å) after each atom.
Element x y z (fractional)
Sm 0.0000 0.0000 0.0000  4 In 2.94, 4 Os 2.94
In 0.7500 0.7500 0.7500  4 Sm 2.94
Os 0.2500 0.2500 0.2500  4 Sm 2.94

- V: 26.15 Å³/atom
- SG: No. 216
- E: -5.368 eV per atom

---

# 3
PrHoGaNi2 after structural relaxation, computed with PBE-GGA.

abc: 5.3891 5.3891 5.3891
angles: 133.89 119.95 78.90
With the nearest neighbours (Å) after each atom.
Element x y z (fractional)
Pr 0.0000 0.0000 0.0000  6 Ni 2.86-2.98, 2 Ga 3.18
Ho 0.4049 0.4049 0.0000  6 Ni 2.87-2.97, 2 Ga 3.18
Ga 0.7025 0.2025 0.5000  4 Ni 2.56
Ni 0.4352 0.7030 0.7322  1 Ni 2.50, 2 Ga 2.56
Ni 0.9708 0.7030 0.2678  1 Ni 2.50, 2 Ga 2.56

- V: 18.95 Å³/atom
- SG: No. 44
- E: -5.207 eV per atom

---

# 4
AlNi after structural relaxation, computed with PBE-GGA.

abc: 2.8867 2.8867 2.8867
angles: 90.00 90.00 90.00
With the nearest neighbours (Å) after each atom.
Element x y z (fractional)
Al 0.0000 0.0000 0.0000  8 Ni 2.50
Ni 0.5000 0.5000 0.5000  8 Al 2.50

- V: 12.03 Å³/atom
- SG: No. 221
- E: -5.326 eV per atom

---

# 5
YLuMgPt after structural relaxation, computed with PBE-GGA.

abc: 4.9154 4.9154 4.9154
angles: 60.00 60.00 60.00
With the nearest neighbours (Å) after each atom.
Element x y z (fractional)
Y 0.0000 0.0000 0.0000  4 Mg 3.01, 4 Lu 3.01
Lu 0.7500 0.7500 0.7500  4 Pt 3.01, 4 Y 3.01
Mg 0.2500 0.2500 0.2500  4 Pt 3.01, 4 Y 3.01
Pt 0.5000 0.5000 0.5000  4 Mg 3.01, 4 Lu 3.01

- V: 20.99 Å³/atom
- Distance to the lowest polymorph of the same formula: 168 meV per atom
- SG: No. 216

---

# 6
BeCuTcB after structural relaxation, computed with PBE-GGA.

abc: 3.8144 3.8144 3.8144
angles: 60.00 60.00 60.00
With the nearest neighbours (Å) after each atom.
Element x y z (fractional)
Be 0.0000 0.0000 0.0000  4 Tc 2.34, 4 Cu 2.34
Cu 0.7500 0.7500 0.7500  4 Be 2.34, 4 B 2.34
Tc 0.2500 0.2500 0.2500  4 Be 2.34, 4 B 2.34
B 0.5000 0.5000 0.5000  4 Tc 2.34, 4 Cu 2.34

- V: 9.81 Å³/atom
- Distance to the lowest polymorph of the same formula: 0 meV per atom
- SG: No. 216

---

# 7
DyY2Cu4Si2Sn2 after structural relaxation, computed with PBE-GGA.

abc: 8.2005 8.2005 8.2005
angles: 149.37 132.26 57.79
With the nearest neighbours (Å) after each atom.
Element x y z (fractional)
Dy 0.0000 0.0000 0.0000  4 Si 3.02, 2 Sn 3.13, 8 Cu 3.33
Y 0.3758 0.8758 0.5000  4 Cu 3.02, 4 Si 3.05, 2 Sn 3.13
Y 0.6242 0.1242 0.5000  4 Cu 3.02, 4 Si 3.05, 2 Sn 3.13
Cu 0.0356 0.3467 0.6889  1 Si 2.36, 1 Cu 2.51
Cu 0.3423 0.6533 0.6889  1 Si 2.36, 1 Cu 2.51
Cu 0.6577 0.3467 0.3111  1 Si 2.36, 1 Cu 2.51
Cu 0.9644 0.6533 0.3111  1 Si 2.36, 1 Cu 2.51
Si 0.3179 0.5000 0.8179  2 Cu 2.36, 1 Si 2.42
Si 0.6821 0.5000 0.1821  2 Cu 2.36, 1 Si 2.42
Sn 0.2183 0.2183 0.0000  6 Cu 2.67-2.77
Sn 0.7817 0.7817 0.0000  6 Cu 2.67-2.77

- V: 18.76 Å³/atom
- Distance to the lowest polymorph of the same formula: 0 meV per atom
- SG: No. 71

---

# 8
MgBe6Au6 after structural relaxation, computed with PBE-GGA.

abc: 6.4734 6.4734 6.4734
angles: 135.78 98.95 97.34
With the nearest neighbours (Å) after each atom.
Element x y z (fractional)
Mg 0.0000 0.0000 0.0000  8 Au 2.73-2.88
Be 0.0000 0.0000 0.5000  4 Be 2.44-2.46, 6 Au 2.52-2.54
Be 0.0000 0.5000 0.0000  4 Be 2.44-2.46, 6 Au 2.52-2.54
Be 0.2388 0.5000 0.7388  4 Be 2.46, 6 Au 2.48-2.60
Be 0.5000 0.0000 0.0000  4 Be 2.44-2.46, 6 Au 2.52-2.54
Be 0.5000 0.5000 0.5000  4 Be 2.44-2.46, 6 Au 2.52-2.54
Be 0.7612 0.5000 0.2612  4 Be 2.46, 6 Au 2.48-2.60
Au 0.1700 0.6700 0.5000  6 Be 2.48-2.52
Au 0.3247 0.0000 0.3247  6 Be 2.54, 1 Mg 2.73
Au 0.3366 0.3366 0.0000  6 Be 2.54-2.60, 3 Au 2.79-2.82
Au 0.6634 0.6634 0.0000  6 Be 2.54-2.60, 3 Au 2.79-2.82
Au 0.6753 0.0000 0.6753  6 Be 2.54, 1 Mg 2.73
Au 0.8300 0.3300 0.5000  6 Be 2.48-2.52

- V: 13.48 Å³/atom
- SG: No. 71
- E: -3.574 eV per atom